# Na2TlTe2

An optimized crystal structure of Na2TlTe2 (GGA-PBE, the Alexandria database).

a = 4.7608 Å, b = 7.9111 Å, c = 8.4375 Å
α = 90.00°, β = 90.00°, γ = 90.00°
Fractional positions:
1 Na 0.0000 0.0000 0.1983
2 Na 0.0000 0.0000 0.8017
3 Na 0.5000 0.5000 0.3017
4 Na 0.5000 0.5000 0.6983
5 Tl 0.0000 0.5000 0.0000
6 Tl 0.5000 0.0000 0.5000
7 Te 0.0000 0.2927 0.5000
8 Te 0.0000 0.7073 0.5000
9 Te 0.5000 0.2073 0.0000
10 Te 0.5000 0.7927 0.0000

Values from the calculation:
The calculation puts the excess energy over the best structure of this formula in the dataset at 73 meV per atom. The formation energy without anion corrections comes out at -0.5146 eV per atom. The symmetry is Immm, No. 71. The density of states at the Fermi level is 2.19 states/eV/f.u.